Entry from OQMD: an optimized crystal structure of Ho2Tm2Ni (PBE-GGA).

Geometry as POSCAR:
```
Ho2Tm2Ni
1.0
5.2703 0.0000 0.0000
-2.6352 4.5642 0.0000
0.0000 0.0000 10.6477
Tm Ni Ho
4 2 4
direct
0.0000 0.0000 0.0000
0.3333 0.6667 0.2500
0.6667 0.3333 0.7500
0.0000 0.0000 0.5000
0.0000 0.0000 0.2500
0.0000 0.0000 0.7500
0.6667 0.3333 0.4035
0.6667 0.3333 0.0965
0.3333 0.6667 0.5965
0.3333 0.6667 0.9035
```

magnetic moment: 0.0 μB per formula unit
symmetry: P6_3/mmc, No. 194
formation energy from the elements: 3 meV/atom

Entry from OQMD: an optimized crystal structure of HoTmNi (PBE-GGA).

Geometry as POSCAR:
```
HoTmNi
1.0
0.0000 3.3110 3.3110
3.3110 0.0000 3.3110
3.3110 3.3110 0.0000
Ni Ho Tm
1 1 1
direct
0.0000 0.0000 0.0000
0.2500 0.2500 0.2500
0.7500 0.7500 0.7500
```

magnetic moment: 0.0 μB per formula unit
relative energy among the computed polymorphs: 0.0 meV/atom
symmetry: F-43m, No. 216
formation energy from the elements: -189 meV/atom

Entry from OQMD: an optimized crystal structure of HoTm3Ni8 (PBE-GGA).

Geometry as POSCAR:
```
HoTm3Ni8
1.0
2.5075 1.4477 8.2091
-2.5075 1.4477 8.2091
0.0000 -2.8954 8.2091
Tm Ni Ho
3 8 1
direct
0.9999 0.9999 0.9999
0.6250 0.6250 0.6250
0.5003 0.5003 0.5003
0.0624 0.5634 0.0624
0.5634 0.0624 0.0624
0.0621 0.5623 0.5623
0.3125 0.3125 0.3125
0.5623 0.0621 0.5623
0.0624 0.0624 0.5634
0.8126 0.8126 0.8126
0.5623 0.5623 0.0621
0.1249 0.1249 0.1249
```

magnetic moment: 0.0 μB per formula unit
symmetry: R3m, No. 160
formation energy from the elements: -490 meV/atom

Entry from OQMD: an optimized crystal structure of HoTm2Ni9 (PBE-GGA).

Geometry as POSCAR:
```
HoTm2Ni9
1.0
2.4600 1.4203 8.0386
-2.4600 1.4203 8.0386
0.0000 -2.8406 8.0386
Ho Ni Tm
1 9 2
direct
0.0000 0.0000 0.0000
0.6668 0.6668 0.6668
0.5000 0.5000 0.5000
0.0810 0.5835 0.5835
0.4165 0.4165 0.9190
0.5835 0.5835 0.0810
0.4165 0.9190 0.4165
0.3332 0.3332 0.3332
0.5835 0.0810 0.5835
0.9190 0.4165 0.4165
0.8607 0.8607 0.8607
0.1393 0.1393 0.1393
```

magnetic moment: 1.1 μB per formula unit
symmetry: R-3m, No. 166
formation energy from the elements: -445 meV/atom

Entry from OQMD: an optimized crystal structure of HoTm3Ni4 (PBE-GGA).

Geometry as POSCAR:
```
HoTm3Ni4
1.0
5.3454 0.0000 0.0000
0.0000 4.1040 0.0000
-0.0122 0.0000 6.9275
Ni Tm Ho
4 3 1
direct
0.1255 0.5000 0.5386
0.8732 0.0000 0.4632
0.3735 0.5000 0.0360
0.6273 0.0000 0.9615
0.6321 0.5000 0.6807
0.1315 0.0000 0.8202
0.8684 0.5000 0.1793
0.3686 0.0000 0.3204
```

magnetic moment: 0.0 μB per formula unit
symmetry: Pm, No. 6
formation energy from the elements: -498 meV/atom

Entry from OQMD: an optimized crystal structure of HoTmZnNi2 (PBE-GGA).

Geometry as POSCAR:
```
HoTmZnNi2
1.0
-2.1116 2.6739 3.9796
2.1116 -2.6739 3.9796
2.1116 2.6739 -3.9796
Ni Ho Zn Tm
2 1 1 1
direct
0.2287 0.5000 0.7286
0.7714 0.5000 0.2714
0.7961 0.7961 0.0000
0.5000 0.0000 0.5000
0.2038 0.2038 0.0000
```

magnetic moment: 0.0 μB per formula unit
symmetry: Imm2, No. 44
formation energy from the elements: -497 meV/atom

Entry from OQMD: an optimized crystal structure of Ho5U3Ni (PBE-GGA).

Geometry as POSCAR:
```
Ho5U3Ni
1.0
-3.0976 -7.0119 -4.8511
8.5635 2.8064 -1.0424
0.9560 -2.0457 2.3465
U Ho Ni
3 5 1
direct
0.0000 0.6212 0.0000
0.6212 0.0000 0.0000
0.3788 0.3788 0.0000
0.6667 0.3333 0.5000
0.7493 0.7493 0.5000
0.0000 0.2507 0.5000
0.3333 0.6667 0.5000
0.2507 0.0000 0.5000
0.0000 0.0000 0.0000
```

magnetic moment: 8.9 μB per formula unit
symmetry: P-62m, No. 189
formation energy from the elements: 344 meV/atom

Entry from OQMD: an optimized crystal structure of YHoNi4 (PBE-GGA).

Geometry as POSCAR:
```
YHoNi4
1.0
-4.8521 -1.4104 -0.1148
-3.6351 3.3689 0.9913
-3.0177 1.6279 -3.7133
Ni Ho Y
4 1 1
direct
0.6244 0.1252 0.1252
0.1252 0.1252 0.6244
0.1252 0.1252 0.1252
0.1252 0.6244 0.1252
0.5000 0.5000 0.5000
0.7500 0.7500 0.7500
```

magnetic moment: 0.0 μB per formula unit
relative energy among the computed polymorphs: 0.0 meV/atom
symmetry: F-43m, No. 216
formation energy from the elements: -445 meV/atom

Entry from OQMD: an optimized crystal structure of YHoNi4 (PBE-GGA).

Geometry as POSCAR:
```
YHoNi4
1.0
-3.2533 3.1417 -2.8602
-0.4141 -5.3221 -0.3726
-5.2864 -0.0090 6.0029
Ni Ho Y
8 2 2
direct
0.0000 0.0000 0.2719
0.0000 0.5000 0.7281
0.0000 0.5000 0.2719
0.1667 0.8333 0.5000
0.0000 0.0000 0.7281
0.5000 0.0000 0.7281
0.5000 0.0000 0.2719
0.8333 0.1667 0.5000
0.8333 0.1667 0.0000
0.1667 0.8333 0.0000
0.5000 0.5000 0.0000
0.5000 0.5000 0.5000
```

magnetic moment: 0.0 μB per formula unit
relative energy among the computed polymorphs: 410.5 meV/atom
symmetry: P6/mmm, No. 191
formation energy from the elements: -35 meV/atom

Entry from OQMD: an optimized crystal structure of YHoNi4 (PBE-GGA).

Geometry as POSCAR:
```
YHoNi4
1.0
-1.0584 -4.8073 -2.0525
-4.9341 1.9717 -0.4583
4.7072 0.9633 -2.3146
Ni Ho Y
4 1 1
direct
0.0408 0.3379 0.7030
0.4575 0.6628 0.7946
0.8682 0.6628 0.2054
0.6349 0.3379 0.2970
0.0392 0.0392 0.0000
0.4594 0.9594 0.5000
```

magnetic moment: 0.1 μB per formula unit
relative energy among the computed polymorphs: 54.6 meV/atom
symmetry: Imm2, No. 44
formation energy from the elements: -390 meV/atom

Entry from OQMD: an optimized crystal structure of Y2Ho2Ni (PBE-GGA).

Geometry as POSCAR:
```
Y2Ho2Ni
1.0
5.3295 0.0000 0.0000
-2.6647 4.6155 0.0000
0.0000 0.0000 10.7427
Ho Y Ni
4 4 2
direct
0.0000 0.0000 0.5000
0.0000 0.0000 0.0000
0.3333 0.6667 0.7500
0.6667 0.3333 0.2500
0.6667 0.3333 0.5965
0.6667 0.3333 0.9035
0.3333 0.6667 0.0965
0.3333 0.6667 0.4035
0.0000 0.0000 0.7500
0.0000 0.0000 0.2500
```

magnetic moment: 0.0 μB per formula unit
symmetry: P6_3/mmc, No. 194
formation energy from the elements: 22 meV/atom

Entry from OQMD: an optimized crystal structure of YHoNi4 (PBE-GGA).

Geometry as POSCAR:
```
YHoNi4
1.0
-1.5610 -3.8277 -3.4209
2.2956 -1.3408 4.6608
-7.1846 -0.1850 3.4855
Y Ho Ni
2 2 8
direct
0.0000 0.0000 0.0000
0.0000 0.0000 0.5000
0.3333 0.6667 0.5000
0.6667 0.3333 0.5000
0.5000 0.0000 0.7717
0.0000 0.5000 0.7717
0.5000 0.0000 0.2283
0.5000 0.5000 0.2283
0.5000 0.5000 0.7717
0.0000 0.5000 0.2283
0.6667 0.3333 0.0000
0.3333 0.6667 0.0000
```

magnetic moment: 0.0 μB per formula unit
relative energy among the computed polymorphs: 409.5 meV/atom
symmetry: P6/mmm, No. 191
formation energy from the elements: -36 meV/atom